Computed, not measured: a relaxed structure of BeSi2Os2 at the PBE level of DFT.

```
data_BeSi2Os2
_chemical_formula_sum 'Be2 Si4 Os4'
_space_group_name_H-M_alt 'P 4/m b m'
_space_group_IT_number 127
_space_group_name_Hall '-P 4 2ab'
_cell_length_a 6.893
_cell_length_b 6.893
_cell_length_c 2.823
_cell_angle_alpha 90.00
_cell_angle_beta 90.00
_cell_angle_gamma 90.00
loop_
_atom_site_label
_atom_site_type_symbol
_atom_site_fract_x
_atom_site_fract_y
_atom_site_fract_z
Be1 Be 0.000 0.000 0.000
Si1 Si 0.141 0.359 0.000
Os1 Os 0.156 0.656 0.500
```

Values from the calculation:
theoretical density = 11.03 g/cm³
ΔE to the lowest computed polymorph = 104.0 meV per atom
raw formation energy = 0.1 eV/f.u.